Crystalline Ce2Ho3ErTm6 at its relaxed geometry. Source: the Alexandria database, functional PBE.

The uncorrected energy comes out at -4.703 eV per atom. Its total moment is 1.7 Bohr magnetons per cell. The formation energy from the elements comes out at 46 meV per atom. As for the space group: C2/m, No. 12.

Lattice parameters (Å, degrees): 6.0622 6.0622 11.5796 95.00 95.00 119.97
Closest atoms and distances in Å follow each position.
Fractional positions:
Ce (0.1664, 0.8336, 0.0000)  6 Tm 3.48-3.49, 3 Ce 3.49-3.50, 3 Er 3.50
Ce (0.8336, 0.1664, 0.0000)  6 Tm 3.48-3.49, 3 Ce 3.49-3.50, 3 Er 3.50
Ho (0.0000, 0.0000, 0.5000)  6 Tm 3.50, 6 Ho 3.50-3.51
Ho (0.3340, 0.6660, 0.5000)  6 Ho 3.49-3.51, 6 Tm 3.50-3.51
Ho (0.6660, 0.3340, 0.5000)  6 Ho 3.49-3.51, 6 Tm 3.50-3.51
Er (0.5000, 0.5000, 0.0000)  6 Tm 3.49, 6 Ce 3.50
Tm (0.0815, 0.4165, 0.7508)  2 Ce 3.48-3.49, 6 Tm 3.49-3.52, 1 Er 3.49, 3 Ho 3.50-3.51
Tm (0.2483, 0.2483, 0.2493)  2 Ce 3.48, 6 Tm 3.49-3.52, 1 Er 3.49, 3 Ho 3.50
Tm (0.4165, 0.0815, 0.7508)  2 Ce 3.48-3.49, 6 Tm 3.49-3.52, 1 Er 3.49, 3 Ho 3.50-3.51
Tm (0.5835, 0.9185, 0.2492)  2 Ce 3.48-3.49, 6 Tm 3.49-3.52, 1 Er 3.49, 3 Ho 3.50-3.51
Tm (0.7517, 0.7517, 0.7507)  2 Ce 3.48, 6 Tm 3.49-3.52, 1 Er 3.49, 3 Ho 3.50
Tm (0.9185, 0.5835, 0.2492)  2 Ce 3.48-3.49, 6 Tm 3.49-3.52, 1 Er 3.49, 3 Ho 3.50-3.51

Crystalline VRhW2 at its relaxed geometry. Source: the Alexandria database, functional PBE.

The uncorrected energy comes out at -10.537 eV per atom. Its total moment is 0.0 Bohr magnetons per cell. The energy above the most stable polymorph in this dataset is 0 meV per atom. The formation energy from the elements comes out at 57 meV per atom. As for the space group: P4/mmm, No. 123.

Lattice parameters (Å, degrees): 3.8370 3.8370 4.1040 90.00 90.00 90.00
Closest atoms and distances in Å follow each position.
Fractional positions:
V (0.0000, 0.0000, 0.0000)  4 Rh 2.71, 8 W 2.81
Rh (0.5000, 0.5000, 0.0000)  4 V 2.71, 8 W 2.81
W (0.0000, 0.5000, 0.5000)  4 W 2.71, 4 Rh 2.81, 4 V 2.81
W (0.5000, 0.0000, 0.5000)  4 W 2.71, 4 Rh 2.81, 4 V 2.81

Crystalline Tl2Hg2Se5 at its relaxed geometry. Source: the Alexandria database, functional PBE.

The uncorrected energy comes out at -2.578 eV per atom. Its total moment is 0.0 Bohr magnetons per cell. For the formation energy (no corrections), the calculation gives -49 meV per atom. As for the space group: C2/m, No. 12.

Lattice parameters (Å, degrees): 10.3790 10.3790 7.4196 105.84 105.84 23.44
Closest atoms and distances in Å follow each position.
Fractional positions:
Tl (0.0867, 0.0867, 0.2599)  3 Se 2.72-2.75
Tl (0.9133, 0.9133, 0.7401)  3 Se 2.72-2.75
Hg (0.3750, 0.3750, 0.1439)  3 Se 2.61-2.66
Hg (0.6250, 0.6250, 0.8561)  3 Se 2.61-2.66
Se (0.1809, 0.1809, 0.0620)  2 Hg 2.66, 1 Tl 2.72
Se (0.3747, 0.3747, 0.4952)  1 Hg 2.61, 2 Tl 2.75
Se (0.5000, 0.5000, 0.0000)  2 Hg 3.02, 4 Tl 3.06
Se (0.6253, 0.6253, 0.5048)  1 Hg 2.61, 2 Tl 2.75
Se (0.8191, 0.8191, 0.9380)  2 Hg 2.66, 1 Tl 2.72

Crystalline CsBaTl2Pt at its relaxed geometry. Source: the Alexandria database, functional PBE.

The uncorrected energy comes out at -2.887 eV per atom. Its total moment is 0.0 Bohr magnetons per cell. The formation energy from the elements comes out at -177 meV per atom. As for the space group: P4/mmm, No. 123.

Lattice parameters (Å, degrees): 5.6525 5.6525 5.9728 90.00 90.00 90.00
Closest atoms and distances in Å follow each position.
Fractional positions:
Cs (0.0000, 0.0000, 0.0000)  4 Ba 4.00, 8 Tl 4.11
Ba (0.5000, 0.5000, 0.0000)  2 Pt 2.99
Tl (0.0000, 0.5000, 0.5000)  2 Pt 2.83
Tl (0.5000, 0.0000, 0.5000)  2 Pt 2.83
Pt (0.5000, 0.5000, 0.5000)  4 Tl 2.83, 2 Ba 2.99

Crystalline RhW2Se5 at its relaxed geometry. Source: the Alexandria database, functional PBE.

The uncorrected energy comes out at -6.307 eV per atom. Its total moment is 0.0 Bohr magnetons per cell. For the formation energy (no corrections), the calculation gives 29 meV per atom. As for the space group: Cm, No. 8.

Lattice parameters (Å, degrees): 7.0242 7.0242 5.3986 110.20 110.20 55.55
Closest atoms and distances in Å follow each position.
Fractional positions:
Rh (0.0000, 0.0000, 0.0000)  4 Se 2.45-2.48
W (0.0841, 0.0841, 0.5716)  5 Se 2.41-2.56
W (0.4699, 0.4699, 0.9632)  5 Se 2.41-2.56
Se (0.1755, 0.6859, 0.2560)  2 W 2.48-2.56, 1 Rh 2.48
Se (0.2819, 0.2819, 0.5940)  2 W 2.41
Se (0.3905, 0.8671, 0.9399)  1 Rh 2.45, 2 W 2.52-2.56
Se (0.6859, 0.1755, 0.2560)  2 W 2.48-2.56, 1 Rh 2.48
Se (0.8671, 0.3905, 0.9399)  1 Rh 2.45, 2 W 2.52-2.56

Crystalline LaHgIr2 at its relaxed geometry. Source: the Alexandria database, functional PBE.

The uncorrected energy comes out at -5.606 eV per atom. Its total moment is 0.0 Bohr magnetons per cell. The formation energy from the elements comes out at 132 meV per atom. As for the space group: P2/m, No. 10.

Lattice parameters (Å, degrees): 3.0293 4.7557 5.6625 90.00 97.83 90.00
Closest atoms and distances in Å follow each position.
Fractional positions:
La (0.0000, 0.0000, 0.0000)  2 Hg 3.02, 2 La 3.03, 4 Ir 3.11
Hg (0.5000, 0.0000, 0.5000)  4 Ir 2.75, 2 La 3.02, 2 Hg 3.03
Ir (0.3200, 0.5000, 0.7123)  2 Hg 2.75, 4 Ir 2.77-3.03
Ir (0.6800, 0.5000, 0.2877)  2 Hg 2.75, 4 Ir 2.77-3.03

Crystalline NdHAu at its relaxed geometry. Source: the Alexandria database, functional PBE.

The uncorrected energy comes out at -4.128 eV per atom. Its total moment is 0.0 Bohr magnetons per cell. The energy above the most stable polymorph in this dataset is 366 meV per atom. As for the space group: I4mm, No. 107.

Lattice parameters (Å, degrees): 5.2902 5.2902 5.2902 139.95 139.95 57.93
Closest atoms and distances in Å follow each position.
Fractional positions:
Nd (0.0000, 0.0000, 0.0000)  4 H 2.58
H (0.4647, 0.4647, 0.0000)  1 Au 2.04
Au (0.6856, 0.6856, 0.0000)  1 H 2.04

Crystalline LiPuSiPt at its relaxed geometry. Source: the Alexandria database, functional PBE.

The uncorrected energy comes out at -7.349 eV per atom. Its total moment is 5.2 Bohr magnetons per cell. For the formation energy (no corrections), the calculation gives -421 meV per atom. As for the space group: F-43m, No. 216.

Lattice parameters (Å, degrees): 4.5734 4.5734 4.5734 60.00 60.00 60.00
Closest atoms and distances in Å follow each position.
Fractional positions:
Li (0.0000, 0.0000, 0.0000)  4 Pt 2.80, 4 Pu 2.80
Pu (0.7500, 0.7500, 0.7500)  4 Si 2.80, 4 Li 2.80
Si (0.5000, 0.5000, 0.5000)  4 Pu 2.80, 4 Pt 2.80
Pt (0.2500, 0.2500, 0.2500)  4 Si 2.80, 4 Li 2.80

Crystalline Y2AlSi at its relaxed geometry. Source: the Alexandria database, functional PBE.

The uncorrected energy comes out at -5.660 eV per atom. Its total moment is 0.0 Bohr magnetons per cell. For the formation energy (no corrections), the calculation gives -136 meV per atom. As for the space group: I-42d, No. 122.

Lattice parameters (Å, degrees): 6.4446 6.4446 6.4446 104.79 104.79 119.31
Closest atoms and distances in Å follow each position.
Fractional positions:
Y (0.1054, 0.1250, 0.4804)  2 Si 2.80, 2 Al 3.00
Y (0.3750, 0.8946, 0.0196)  2 Si 2.80, 2 Al 3.00
Y (0.6446, 0.6250, 0.5196)  2 Si 2.80, 2 Al 3.00
Y (0.8750, 0.3554, 0.9804)  2 Si 2.80, 2 Al 3.00
Al (0.2500, 0.7500, 0.5000)  4 Y 3.00, 2 Si 3.26
Al (0.5000, 0.5000, 0.0000)  4 Y 3.00, 2 Si 3.26
Si (0.0000, 0.0000, 0.0000)  4 Y 2.80
Si (0.7500, 0.2500, 0.5000)  4 Y 2.80

Crystalline BiBW2 at its relaxed geometry. Source: the Alexandria database, functional PBE.

The uncorrected energy comes out at -7.932 eV per atom. Its total moment is 0.0 Bohr magnetons per cell. The energy above the most stable polymorph in this dataset is 0 meV per atom. The formation energy from the elements comes out at 1184 meV per atom. As for the space group: I-42d, No. 122.

Lattice parameters (Å, degrees): 7.3397 7.3397 7.3397 139.39 139.39 58.78
Closest atoms and distances in Å follow each position.
Fractional positions:
Bi (0.0000, 0.0000, 0.0000)  4 W 2.88
Bi (0.7500, 0.2500, 0.5000)  4 W 2.88
B (0.2500, 0.7500, 0.5000)  4 W 2.11
B (0.5000, 0.5000, 0.0000)  4 W 2.11
W (0.2741, 0.6250, 0.1491)  2 B 2.11
W (0.3750, 0.5241, 0.6491)  2 B 2.11
W (0.4759, 0.1250, 0.8509)  2 B 2.11
W (0.8750, 0.7259, 0.3509)  2 B 2.11

Crystalline KLiHF at its relaxed geometry. Source: the Alexandria database, functional PBE.

The uncorrected energy comes out at -3.619 eV per atom. Its total moment is 0.0 Bohr magnetons per cell. As for the space group: P4/nmm, No. 129.

Lattice parameters (Å, degrees): 3.8335 3.8335 7.6710 90.00 90.00 90.00
Closest atoms and distances in Å follow each position.
Fractional positions:
K (0.2500, 0.2500, 0.1812)  5 F 2.70-2.71
K (0.7500, 0.7500, 0.8188)  5 F 2.70-2.71
Li (0.2500, 0.2500, 0.5811)  1 F 1.91, 4 H 2.02
Li (0.7500, 0.7500, 0.4189)  1 F 1.91, 4 H 2.02
H (0.2500, 0.7500, 0.5000)  4 Li 2.02
H (0.7500, 0.2500, 0.5000)  4 Li 2.02
F (0.2500, 0.2500, 0.8295)  1 Li 1.91
F (0.7500, 0.7500, 0.1705)  1 Li 1.91

Crystalline In2Ag2Sn at its relaxed geometry. Source: the Alexandria database, functional PBE.

The uncorrected energy comes out at -2.933 eV per atom. Its total moment is 0.0 Bohr magnetons per cell. The energy above the most stable polymorph in this dataset is 52 meV per atom. The formation energy from the elements comes out at 104 meV per atom. As for the space group: I4/mmm, No. 139.

Lattice parameters (Å, degrees): 8.0992 8.0992 8.0992 151.53 151.53 40.69
Closest atoms and distances in Å follow each position.
Fractional positions:
In (0.1054, 0.1054, 0.0000)  4 Ag 2.96, 1 In 3.20, 4 Sn 3.24
In (0.8946, 0.8946, 0.0000)  4 Ag 2.96, 1 In 3.20, 4 Sn 3.24
Ag (0.2500, 0.7500, 0.5000)  4 Ag 2.82, 4 In 2.96
Ag (0.7500, 0.2500, 0.5000)  4 Ag 2.82, 4 In 2.96
Sn (0.5000, 0.5000, 0.0000)  8 In 3.24